First-principles (PBEsol) data for AsPbSe2 after structural relaxation, as listed in Alexandria via LeMat-Bulk.

- formation energy without anion corrections (eV/atom) = 0.085

Structure (POSCAR):
```
AsPbSe2
1.0
-1.512 -1.347 4.566
2.115 -3.908 2.280
2.990 0.722 3.935
Se Pb As
2 1 1
Cartesian
2.695 -3.400 8.085
0.898 -1.133 2.695
1.797 -2.267 5.390
0.000 0.000 0.000
```



First-principles (PBEsol) data for K2Na2Cd after structural relaxation, as listed in Alexandria via LeMat-Bulk.

- E_form (meV/atom) = 58.3

Structure (POSCAR):
```
K2Na2Cd
1.0
-5.609 -2.366 -0.308
2.234 -4.430 -6.644
2.355 -6.227 4.944
Na K Cd
4 4 2
Cartesian
1.160 -2.852 0.788
2.805 -6.893 1.869
1.784 -3.764 -3.569
3.429 -7.805 -2.488
0.645 -9.293 -0.674
-0.241 -6.757 -4.012
-1.665 -3.730 -1.334
-0.778 -6.267 2.004
0.000 0.000 0.000
2.295 -5.329 -0.850
```



Please write out number 1 again, unchanged.
First-principles (PBEsol) data for AsPbSe2 after structural relaxation, as listed in Alexandria via LeMat-Bulk.

- formation energy without anion corrections (eV/atom) = 0.085

Structure (POSCAR):
```
AsPbSe2
1.0
-1.512 -1.347 4.566
2.115 -3.908 2.280
2.990 0.722 3.935
Se Pb As
2 1 1
Cartesian
2.695 -3.400 8.085
0.898 -1.133 2.695
1.797 -2.267 5.390
0.000 0.000 0.000
```